## Tb5Pm3Sm4 (GGA-PBE)

Data for an optimized crystal structure of Tb5Pm3Sm4.

Cell: 7.2080 11.4019 13.0011 Å, 151.30 56.37 129.24°
With the nearest neighbours (Å) after each atom.
Positions (direct):
Pm1 0.0000 0.0000 0.5000  8 Tb 3.60-3.61, 2 Sm 3.60, 2 Pm 3.60
Pm2 0.5826 0.1655 0.3329  5 Tb 3.59-3.62, 6 Sm 3.60-3.62, 1 Pm 3.60
Pm3 0.4174 0.8345 0.6671  5 Tb 3.59-3.62, 6 Sm 3.60-3.62, 1 Pm 3.60
Tb1 0.7503 0.5003 0.0003  3 Sm 3.59-3.60, 6 Tb 3.59-3.61, 3 Pm 3.60-3.61
Tb2 0.5000 0.0000 0.5000  4 Sm 3.59-3.61, 4 Pm 3.60, 4 Tb 3.60-3.61
Tb3 0.3323 0.6664 0.8343  4 Pm 3.59-3.62, 3 Tb 3.59-3.61, 5 Sm 3.60-3.62
Tb4 0.2497 0.4997 0.9997  3 Sm 3.59-3.60, 6 Tb 3.59-3.61, 3 Pm 3.60-3.61
Tb5 0.6677 0.3336 0.1657  4 Pm 3.59-3.62, 3 Tb 3.59-3.61, 5 Sm 3.60-3.62
Sm1 0.9167 0.8349 0.6676  5 Tb 3.59-3.62, 4 Pm 3.60-3.62, 3 Sm 3.60-3.62
Sm2 0.8322 0.6645 0.8326  5 Tb 3.59-3.61, 4 Sm 3.60-3.63, 3 Pm 3.60-3.62
Sm3 0.0833 0.1651 0.3324  5 Tb 3.59-3.62, 4 Pm 3.60-3.62, 3 Sm 3.60-3.62
Sm4 0.1678 0.3355 0.1674  5 Tb 3.59-3.61, 4 Sm 3.60-3.63, 3 Pm 3.60-3.62

Values from the calculation:
Uncorrected energy = -4.677 eV per atom
Energy of formation from the pure elements = 0.013 eV per atom